The following is a DFT calculation (GGA-PBE) of a geometry-optimized Y2NiIr structure.

It has space group P2_1/m (No. 11), with a = 5.636 Å, b = 4.090 Å, c = 7.836 Å, α = 90.00°, β = 110.30° and γ = 90.00°. The asymmetric unit holds Y at (0.212, 0.250, 0.432), Y at (0.215, 0.250, 0.925), Ni at (0.350, 0.750, 0.211) and Ir at (0.356, 0.750, 0.716).

The calculation puts the formation energy at -62.98 kJ per mole of atoms. The density is 8.40 g/cm³. The value obtained for the electronic total energy is -7.55 eV/atom.